VASP calculation (PBE) on a relaxed Ti4Bi2B crystal.

Cell and atoms, written as POSCAR:
```
Ti4Bi2B
1.0
-0.975 2.193 -2.581
-6.499 0.725 3.072
3.591 8.247 5.651
Bi Ti B
4 8 2
direct
0.500 0.437 0.654
0.500 0.937 0.846
0.500 0.063 0.154
0.500 0.563 0.346
0.000 0.373 0.181
0.000 0.873 0.319
0.000 0.127 0.681
0.500 0.670 0.062
0.500 0.330 0.938
0.000 0.627 0.819
0.500 0.170 0.438
0.500 0.830 0.562
0.000 0.000 0.500
0.000 0.500 0.000
```

## Properties
As for the space group: Pbam, No. 55. Its crystal system is orthorhombic. For the distance to the lowest polymorph of the same formula, the calculation gives 95 meV per atom. The value obtained for the total energy is -95.8 eV/cell. As for the formation energy: -270 meV per atom.